# 1
First-principles (PBE-GGA) data for a relaxed Y2Zn crystal, as listed in Alexandria.

Summary:
crystal system = cubic
M_tot = 0.00 μB/cell
energy of formation from the pure elements = 0.01 eV/atom

Unit cell a=4.9685 b=4.9685 c=4.9685 alpha=60.00 beta=60.00 gamma=60.00
Fractional coordinates of all 3 atoms:
Y: 0.7500 0.7500 0.7500
Y: 0.2500 0.2500 0.2500
Zn: 0.0000 0.0000 0.0000


# 2
First-principles (PBE-GGA) data for a relaxed Y3Zn crystal, as listed in Alexandria.

Summary:
crystal system = cubic
M_tot = 0.00 μB/cell
energy of formation from the pure elements = 0.01 eV/atom

Unit cell a=6.0409 b=6.0409 c=6.0409 alpha=90.00 beta=90.00 gamma=90.00
Fractional coordinates of all 8 atoms:
Y: 0.0000 0.2500 0.5000
Y: 0.0000 0.7500 0.5000
Y: 0.2500 0.5000 0.0000
Y: 0.5000 0.0000 0.2500
Y: 0.5000 0.0000 0.7500
Y: 0.7500 0.5000 0.0000
Zn: 0.0000 0.0000 0.0000
Zn: 0.5000 0.5000 0.5000


# 3
First-principles (PBE-GGA) data for a relaxed YZn crystal, as listed in Alexandria.

Summary:
crystal system = tetragonal
M_tot = 0.00 μB/cell
energy of formation from the pure elements = 0.03 eV/atom

Unit cell a=10.4951 b=10.4951 c=3.7174 alpha=90.00 beta=90.00 gamma=90.00
Fractional coordinates of all 16 atoms:
Y: 0.1875 0.8696 0.0000
Y: 0.8125 0.1304 0.0000
Y: 0.1304 0.1875 0.0000
Y: 0.8696 0.8125 0.0000
Y: 0.6875 0.3696 0.5000
Y: 0.3125 0.6304 0.5000
Y: 0.6304 0.6875 0.5000
Y: 0.3696 0.3125 0.5000
Zn: 0.4095 0.0967 0.0000
Zn: 0.5905 0.9033 0.0000
Zn: 0.9033 0.4095 0.0000
Zn: 0.0967 0.5905 0.0000
Zn: 0.9095 0.5967 0.5000
Zn: 0.0905 0.4033 0.5000
Zn: 0.4033 0.9095 0.5000
Zn: 0.5967 0.0905 0.5000


# 4
First-principles (PBE-GGA) data for a relaxed Y3Zn crystal, as listed in Alexandria.

Summary:
crystal system = orthorhombic
M_tot = 0.00 μB/cell
energy of formation from the pure elements = 0.01 eV/atom

Unit cell a=5.4838 b=5.4838 c=3.7646 alpha=90.00 beta=90.00 gamma=100.67
Fractional coordinates of all 4 atoms:
Y: 0.0000 0.0000 0.0000
Y: 0.0000 0.5000 0.5000
Y: 0.5000 0.0000 0.5000
Zn: 0.5000 0.5000 0.0000


# 5
First-principles (PBE-GGA) data for a relaxed Y3Zn crystal, as listed in Alexandria.

Summary:
crystal system = orthorhombic
M_tot = 0.01 μB/cell
energy of formation from the pure elements = -0.14 eV/atom

Unit cell a=6.9016 b=9.9727 c=6.5990 alpha=90.00 beta=90.00 gamma=90.00
Fractional coordinates of all 16 atoms:
Y: 0.0045 0.2500 0.8784
Y: 0.1918 0.0487 0.3144
Y: 0.1918 0.4513 0.3144
Y: 0.3082 0.5487 0.8144
Y: 0.3082 0.9513 0.8144
Y: 0.4955 0.7500 0.3784
Y: 0.5045 0.2500 0.6216
Y: 0.6918 0.0487 0.1856
Y: 0.6918 0.4513 0.1856
Y: 0.8082 0.5487 0.6856
Y: 0.8082 0.9513 0.6856
Y: 0.9955 0.7500 0.1216
Zn: 0.0935 0.7500 0.5545
Zn: 0.4065 0.2500 0.0545
Zn: 0.5935 0.7500 0.9455
Zn: 0.9065 0.2500 0.4455


# 6
First-principles (PBE-GGA) data for a relaxed YZn6 crystal, as listed in Alexandria.

Summary:
crystal system = cubic
M_tot = 0.00 μB/cell
energy of formation from the pure elements = 0.60 eV/atom

Unit cell a=5.7946 b=5.7946 c=5.7946 alpha=90.00 beta=90.00 gamma=90.00
Fractional coordinates of all 7 atoms:
Y: 0.0000 0.0000 0.0000
Zn: 0.1936 0.5000 0.5000
Zn: 0.5000 0.5000 0.8064
Zn: 0.5000 0.5000 0.1936
Zn: 0.5000 0.1936 0.5000
Zn: 0.5000 0.8064 0.5000
Zn: 0.8064 0.5000 0.5000